(i)
Material: ZrTi3Ni
Method: DFT, GGA-PBE
State: optimized geometry Values from VASP.

The structure in Quantum ESPRESSO input format:
```
&SYSTEM
  ibrav = 0, nat = 10, ntyp = 3
/
ATOMIC_SPECIES
Ni 58.69 Ni.upf
Zr 91.22 Zr.upf
Ti 47.87 Ti.upf
CELL_PARAMETERS angstrom
5.424 0.000 0.000
0.000 6.200 0.001
0.000 -3.100 5.368
ATOMIC_POSITIONS crystal
Ni 0.000 0.000 0.000
Ni 0.500 0.000 0.000
Zr 0.250 0.333 0.666
Zr 0.750 0.667 0.334
Ti 0.250 0.373 0.186
Ti 0.750 0.627 0.813
Ti 0.250 0.813 0.627
Ti 0.750 0.187 0.814
Ti 0.750 0.187 0.373
Ti 0.250 0.813 0.186
```

---

(ii)
Material: ZrTi3Ni
Method: DFT, GGA-PBE
State: optimized geometry Values from VASP.

The structure in Quantum ESPRESSO input format:
```
&SYSTEM
  ibrav = 0, nat = 10, ntyp = 3
/
ATOMIC_SPECIES
Zr 91.22 Zr.upf
Ni 58.69 Ni.upf
Ti 47.87 Ti.upf
CELL_PARAMETERS angstrom
5.866 0.000 3.062
2.130 5.258 3.069
0.372 0.191 6.437
ATOMIC_POSITIONS crystal
Zr 0.250 0.816 0.684
Zr 0.750 0.184 0.316
Ni 0.500 0.000 0.000
Ni 0.000 0.500 0.500
Ti 0.250 0.322 0.178
Ti 0.721 0.279 0.779
Ti 0.279 0.721 0.221
Ti 0.221 0.279 0.779
Ti 0.779 0.721 0.221
Ti 0.750 0.678 0.822
```

---

Short version: (i), (ii), most stable first.

---

(i)
Material: ZrTi2Ni2
Method: DFT, GGA-PBE
State: optimized geometry Values from VASP.

The structure in Quantum ESPRESSO input format:
```
&SYSTEM
  ibrav = 0, nat = 10, ntyp = 3
/
ATOMIC_SPECIES
Ti 47.87 Ti.upf
Zr 91.22 Zr.upf
Ni 58.69 Ni.upf
CELL_PARAMETERS angstrom
-1.182 6.873 -2.331
-0.778 -2.468 -6.883
-2.768 -0.330 0.431
ATOMIC_POSITIONS crystal
Ti 0.848 0.652 0.000
Ti 0.348 0.848 0.000
Ti 0.152 0.348 0.000
Ti 0.652 0.152 0.000
Zr 0.500 0.500 0.000
Zr 0.000 0.000 0.000
Ni 0.360 0.140 0.500
Ni 0.640 0.860 0.500
Ni 0.860 0.360 0.500
Ni 0.140 0.640 0.500
```

---

(ii)
Material: ZrTi2Ni2
Method: DFT, GGA-PBE
State: optimized geometry Values from VASP.

The structure in Quantum ESPRESSO input format:
```
&SYSTEM
  ibrav = 0, nat = 5, ntyp = 3
/
ATOMIC_SPECIES
Ti 47.87 Ti.upf
Ni 58.69 Ni.upf
Zr 91.22 Zr.upf
CELL_PARAMETERS angstrom
-2.956 -1.925 1.295
1.342 -3.130 -1.589
2.108 -3.741 4.707
ATOMIC_POSITIONS crystal
Ti 0.616 0.616 0.767
Ti 0.384 0.384 0.233
Ni 0.250 0.750 0.500
Ni 0.750 0.250 0.500
Zr 0.000 0.000 0.000
```

---

(iii)
Material: ZrTi2Ni2
Method: DFT, GGA-PBE
State: optimized geometry Values from VASP.

The structure in Quantum ESPRESSO input format:
```
&SYSTEM
  ibrav = 0, nat = 5, ntyp = 3
/
ATOMIC_SPECIES
Ti 47.87 Ti.upf
Ni 58.69 Ni.upf
Zr 91.22 Zr.upf
CELL_PARAMETERS angstrom
-2.644 -3.058 0.621
-0.426 -0.452 -4.043
5.233 -1.448 1.680
ATOMIC_POSITIONS crystal
Ti 0.750 0.250 0.500
Ti 0.250 0.750 0.500
Ni 0.616 0.615 0.231
Ni 0.384 0.385 0.769
Zr 0.000 0.000 0.000
```

---

Short version: (iii), (i), (ii), most stable first.